# 1
AlNiBr2 PBE-GGA optimized geometry; ΔE_f (raw) = -0.09 eV/atom; electronic total energy = -26.5 eV per cell; M_tot = 0.000 μB/cell; DOS at the Fermi energy = 1.33 states/eV per cell; relative energy among the computed polymorphs = 180 meV per atom; SG = I-42d, No. 122
1.0
-4.438 4.438 2.414
4.438 -4.438 2.414
4.438 4.438 -2.414
Al Ni Br
2 2 4
Direct
0.000 0.000 0.000
0.750 0.250 0.500
0.250 0.750 0.500
0.500 0.500 0.000
0.279 0.125 0.654
0.375 0.721 0.846
0.471 0.625 0.346
0.875 0.529 0.154

# 2
AlNiBr2 PBE-GGA optimized geometry; ΔE_f (raw) = 0.32 eV/atom; electronic total energy = -11.6 eV per cell; M_tot = 1.001 μB/cell; DOS at the Fermi energy = 5.68 states/eV per cell; relative energy among the computed polymorphs = 598 meV per atom; SG = P4/mmm, No. 123
1.0
3.386 0.000 0.000
0.000 3.386 0.000
0.000 0.000 7.476
Al Ni Br
1 1 2
Direct
0.000 0.000 0.000
0.000 0.000 0.500
0.500 0.500 0.284
0.500 0.500 0.716

- electronic total energy of number 2 (AlNiBr2)?
  -11.6 eV per cell

- What is the formula in the first record?
  AlNiBr2

Please write out number 2 again, unchanged.
AlNiBr2 PBE-GGA optimized geometry; ΔE_f (raw) = 0.32 eV/atom; electronic total energy = -11.6 eV per cell; M_tot = 1.001 μB/cell; DOS at the Fermi energy = 5.68 states/eV per cell; relative energy among the computed polymorphs = 598 meV per atom; SG = P4/mmm, No. 123
1.0
3.386 0.000 0.000
0.000 3.386 0.000
0.000 0.000 7.476
Al Ni Br
1 1 2
Direct
0.000 0.000 0.000
0.000 0.000 0.500
0.500 0.500 0.284
0.500 0.500 0.716